(1)
The following is a GGA-PBE calculation of Ac2Pr5Y12 after structural relaxation, from the Alexandria database. Values from VASP.

Quantum ESPRESSO input file:
```
&SYSTEM
  ibrav = 0, nat = 19, ntyp = 3
/
ATOMIC_SPECIES
Y 88.91 Y.upf
Pr 140.91 Pr.upf
Ac 227.00 Ac.upf
ATOMIC_POSITIONS angstrom
Y 8.623 -0.431 2.304
Y -5.167 0.858 2.878
Y 12.656 5.940 -0.756
Y 13.350 2.348 -0.773
Y -1.751 1.571 3.459
Y 4.546 2.620 1.733
Y -5.828 4.622 2.888
Y 3.902 6.283 1.743
Y 7.962 3.333 2.314
Y -1.107 -2.092 3.450
Y -9.861 -1.748 5.948
Y -10.555 1.843 5.966
Pr 1.717 0.295 2.596
Pr 8.137 1.432 -0.744
Pr 9.049 5.306 -0.855
Pr -6.254 -1.115 6.047
Pr 1.078 3.896 2.597
Ac 3.111 2.395 5.188
Ac -0.316 1.797 0.005
CELL_PARAMETERS angstrom
-1.266 7.205 0.019
-12.212 -5.877 6.661
16.273 2.863 -1.488
```

Values from the calculation:
Crystal system: monoclinic
Final energy, eV/cell: -107.425
Formation enthalpy at 0 K, eV per atom: 0.12

***

(2)
The following is a GGA-PBE calculation of Ac6Pr2Y after structural relaxation, from the Alexandria database. Values from VASP.

Quantum ESPRESSO input file:
```
&SYSTEM
  ibrav = 0, nat = 9, ntyp = 3
/
ATOMIC_SPECIES
Ac 227.00 Ac.upf
Pr 140.91 Pr.upf
Y 88.91 Y.upf
ATOMIC_POSITIONS angstrom
Ac 3.451 -5.396 1.487
Ac 0.549 -4.688 4.577
Ac 5.846 -8.989 4.716
Ac 4.238 -5.279 5.188
Ac 1.754 -1.479 1.985
Ac 3.097 -8.319 7.643
Pr 4.947 -11.824 7.352
Pr 1.931 -8.325 3.719
Y 0.347 -4.362 1.325
CELL_PARAMETERS angstrom
-2.219 -5.913 4.776
3.127 -7.217 -0.918
5.704 -2.631 5.957
```

Values from the calculation:
Crystal system: trigonal
Final energy, eV/cell: -37.309
Formation enthalpy at 0 K, eV per atom: 0.37

***

(3)
The following is a GGA-PBE calculation of AcPr5Y2 after structural relaxation, from the Alexandria database. Values from VASP.

Quantum ESPRESSO input file:
```
&SYSTEM
  ibrav = 0, nat = 16, ntyp = 3
/
ATOMIC_SPECIES
Pr 140.91 Pr.upf
Y 88.91 Y.upf
Ac 227.00 Ac.upf
ATOMIC_POSITIONS angstrom
Pr 0.000 3.713 7.426
Pr 0.000 0.000 0.000
Pr 2.617 1.838 12.967
Pr 0.000 0.001 11.170
Pr 2.617 5.587 1.884
Pr 0.000 3.713 11.107
Pr 0.000 7.424 3.681
Pr 2.617 5.550 9.310
Pr 2.617 1.875 5.542
Pr 0.000 3.712 3.744
Y 2.617 1.843 1.882
Y 2.617 1.869 9.308
Y 2.617 5.582 12.969
Y 2.617 5.556 5.543
Ac 0.000 0.000 7.426
Ac 0.000 3.713 0.000
CELL_PARAMETERS angstrom
5.235 0.000 0.000
0.000 7.425 0.000
0.000 0.000 14.851
```

Values from the calculation:
Crystal system: orthorhombic
Final energy, eV/cell: -81.629
Formation enthalpy at 0 K, eV per atom: 0.01